1.
Here is a geometry-optimized Ni4IrPt3 structure from the Alexandria database. Energies are from GGA-PBE.

Results
space-group type: C2/m, No. 12
formation enthalpy at 0 K: -5.09 kJ/mol of atoms
density of states at the Fermi level: 14.68 states/eV/f.u.
total DFT energy (no corrections): -50.5 eV per cell

a b c (Å): 3.8295 4.5051 7.0501
angles (deg): 86.86 74.24 64.85
Last column: nearest neighbours and their distance in Å.
Sites, in units of the cell vectors:
Ni1 0.8789 0.8705 0.3716  1 Ir 2.61, 7 Pt 2.62-2.66, 4 Ni 2.71-2.75
Ni2 0.1211 0.1295 0.6284  1 Ir 2.61, 7 Pt 2.62-2.66, 4 Ni 2.71-2.75
Ni3 0.3706 0.3802 0.8786  5 Pt 2.60-2.65, 3 Ir 2.60-2.63, 4 Ni 2.67-2.71
Ni4 0.6294 0.6198 0.1214  5 Pt 2.60-2.65, 3 Ir 2.60-2.63, 4 Ni 2.67-2.71
Ir1 0.0000 0.0000 0.0000  8 Ni 2.60-2.63, 4 Pt 2.69
Pt1 0.7444 0.7584 0.7527  8 Ni 2.60-2.66, 2 Ir 2.69, 2 Pt 2.73
Pt2 0.2556 0.2416 0.2473  8 Ni 2.60-2.66, 2 Ir 2.69, 2 Pt 2.73
Pt3 0.5000 0.5000 0.5000  8 Ni 2.63-2.65, 4 Pt 2.73

***

2.
Here is a geometry-optimized Tb2PuTcN5 structure from the Alexandria database. Energies are from GGA-PBE.

Results
uncorrected formation energy: -0.999 eV/atom
space-group type: Cmc2_1, No. 36
density of states at the Fermi level: 6.96 states/eV/f.u.
total DFT energy (no corrections): -169.2 eV per cell

a b c (Å): 3.4070 7.0653 10.1493
angles (deg): 90.00 90.00 103.95
Last column: nearest neighbours and their distance in Å.
Sites, in units of the cell vectors:
Tb1 0.8636 0.7272 0.8045  7 N 2.44-2.66
Tb2 0.1081 0.2163 0.6869  6 N 2.42-2.55
Tb3 0.1364 0.2728 0.3045  7 N 2.44-2.66
Tb4 0.8919 0.7837 0.1869  6 N 2.42-2.55
Pu1 0.7901 0.5802 0.5105  6 N 2.21-2.32
Pu2 0.2099 0.4198 0.0105  6 N 2.21-2.32
Tc1 0.5248 0.0496 0.9604  3 N 1.90-1.93
Tc2 0.4752 0.9504 0.4604  3 N 1.90-1.93
N1 0.3711 0.7423 0.0020  1 Tc 2.15, 1 Pu 2.21
N2 0.6767 0.3535 0.8761  2 Pu 2.23, 1 Tc 2.25
N3 0.4897 0.9793 0.7794  1 Tc 1.90
N4 0.2829 0.5658 0.6570  2 Pu 2.26, 3 Tb 2.42-2.52
N5 0.9574 0.9148 0.5473  2 Tc 1.93
N6 0.6289 0.2577 0.5020  1 Tc 2.15, 1 Pu 2.21
N7 0.3233 0.6465 0.3761  2 Pu 2.23, 1 Tc 2.25
N8 0.5103 0.0207 0.2794  1 Tc 1.90
N9 0.7171 0.4342 0.1570  2 Pu 2.26, 3 Tb 2.42-2.52
N10 0.0426 0.0852 0.0473  2 Tc 1.93

***

3.
Here is a geometry-optimized KNd2AgS4 structure from the Alexandria database. Energies are from GGA-PBE.

Results
uncorrected formation energy: -1.583 eV/atom
space-group type: Cmcm, No. 63
total DFT energy (no corrections): -85.3 eV per cell

a b c (Å): 4.1598 7.2422 14.4885
angles (deg): 90.00 90.00 106.69
Last column: nearest neighbours and their distance in Å.
Sites, in units of the cell vectors:
K1 0.1147 0.2293 0.7500  6 S 3.15-3.39
K2 0.8853 0.7707 0.2500  6 S 3.15-3.39
Nd1 0.3676 0.7353 0.5652  6 S 2.84-2.93
Nd2 0.6324 0.2647 0.0652  6 S 2.84-2.93
Nd3 0.6324 0.2647 0.4348  6 S 2.84-2.93
Nd4 0.3676 0.7353 0.9348  6 S 2.84-2.93
Ag1 0.8391 0.6783 0.7500  4 S 2.54
Ag2 0.1609 0.3217 0.2500  4 S 2.54
S1 0.2646 0.5293 0.1057  1 Ag 2.54, 2 Nd 2.84
S2 0.7354 0.4707 0.6057  1 Ag 2.54, 2 Nd 2.84
S3 0.7354 0.4707 0.8943  1 Ag 2.54, 2 Nd 2.84
S4 0.2646 0.5293 0.3943  1 Ag 2.54, 2 Nd 2.84
S5 0.0000 0.0000 0.5000  4 Nd 2.93
S6 0.0000 0.0000 0.0000  4 Nd 2.93
S7 0.4437 0.8873 0.7500  2 Ag 2.54
S8 0.5563 0.1127 0.2500  2 Ag 2.54

***

4.
Here is a geometry-optimized Mn2PBr structure from the Alexandria database. Energies are from GGA-PBE.

Results
energy relative to the lowest polymorph listed for this composition: 70.4 kJ per mole of atoms
uncorrected formation energy: 0.556 eV/atom
space-group type: Fm-3m, No. 225
density of states at the Fermi level: 3.73 states/eV/f.u.
total DFT energy (no corrections): -23.2 eV per cell

a b c (Å): 4.1506 4.1506 4.1506
angles (deg): 60.00 60.00 60.00
Last column: nearest neighbours and their distance in Å.
Sites, in units of the cell vectors:
P1 0.0000 0.0000 0.0000  8 Mn 2.54
Mn1 0.2500 0.2500 0.2500  4 Br 2.54, 4 P 2.54
Mn2 0.7500 0.7500 0.7500  4 P 2.54, 4 Br 2.54
Br1 0.5000 0.5000 0.5000  8 Mn 2.54

***

5.
Here is a geometry-optimized Ca3TbY2Se6 structure from the Alexandria database. Energies are from GGA-PBE.

Results
uncorrected formation energy: -1.884 eV/atom
space-group type: C2/m, No. 12
density of states at the Fermi level: 4.54 states/eV/f.u.
total DFT energy (no corrections): -67.1 eV per cell

a b c (Å): 7.1232 7.1232 7.2465
angles (deg): 99.46 99.46 119.95
Last column: nearest neighbours and their distance in Å.
Sites, in units of the cell vectors:
Ca1 0.1665 0.8335 0.5000  6 Se 2.94
Ca2 0.8335 0.1665 0.5000  6 Se 2.94
Ca3 0.5000 0.5000 0.5000  6 Se 2.94
Tb1 0.0000 0.0000 0.0000  6 Se 2.92
Y1 0.3334 0.6666 0.0000  6 Se 2.91
Y2 0.6666 0.3334 0.0000  6 Se 2.91
Se1 0.9179 0.5840 0.7534  2 Y 2.91, 1 Tb 2.92, 3 Ca 2.94
Se2 0.7484 0.7484 0.2467  2 Y 2.91, 1 Tb 2.92, 3 Ca 2.94
Se3 0.0821 0.4160 0.2466  2 Y 2.91, 1 Tb 2.92, 3 Ca 2.94
Se4 0.5840 0.9179 0.7534  2 Y 2.91, 1 Tb 2.92, 3 Ca 2.94
Se5 0.2516 0.2516 0.7533  2 Y 2.91, 1 Tb 2.92, 3 Ca 2.94
Se6 0.4160 0.0821 0.2466  2 Y 2.91, 1 Tb 2.92, 3 Ca 2.94

***

6.
Here is a geometry-optimized Ho5IrRh4 structure from the Alexandria database. Energies are from GGA-PBE.

Results
space-group type: P4/mmm, No. 123
formation enthalpy at 0 K: -85.90 kJ/mol of atoms
density of states at the Fermi level: 5.29 states/eV/f.u.
total DFT energy (no corrections): -70.1 eV per cell

a b c (Å): 3.3649 3.3649 17.5171
angles (deg): 90.00 90.00 90.00
Last column: nearest neighbours and their distance in Å.
Sites, in units of the cell vectors:
Ho1 0.5000 0.5000 0.0994  4 Ir 2.95, 4 Rh 2.97
Ho2 0.5000 0.5000 0.3001  8 Rh 2.94-2.95
Ho3 0.5000 0.5000 0.5000  8 Rh 2.95
Ho4 0.5000 0.5000 0.6999  8 Rh 2.94-2.95
Ho5 0.5000 0.5000 0.9006  4 Ir 2.95, 4 Rh 2.97
Ir1 0.0000 0.0000 0.0000  8 Ho 2.95
Rh1 0.0000 0.0000 0.2011  8 Ho 2.94-2.97
Rh2 0.0000 0.0000 0.4001  8 Ho 2.95
Rh3 0.0000 0.0000 0.5999  8 Ho 2.95
Rh4 0.0000 0.0000 0.7989  8 Ho 2.94-2.97

***

7.
Here is a geometry-optimized SrLaZn2 structure from the Alexandria database. Energies are from GGA-PBE.

Results
space-group type: Imm2, No. 44
formation enthalpy at 0 K: -14.26 kJ/mol of atoms
density of states at the Fermi level: 2.58 states/eV/f.u.
total DFT energy (no corrections): -9.7 eV per cell

a b c (Å): 6.3744 6.3744 5.3194
angles (deg): 65.31 65.31 33.78
Last column: nearest neighbours and their distance in Å.
Sites, in units of the cell vectors:
La1 0.4708 0.4708 0.5291  6 Zn 3.34-3.38, 2 Sr 3.44, 2 La 3.70
Sr1 0.2724 0.2724 0.2275  8 Zn 3.31-3.66, 2 La 3.44
Zn1 0.0437 0.0437 0.9565  2 Zn 2.62
Zn2 0.7131 0.7131 0.7869  2 Zn 2.62

***

8.
Here is a geometry-optimized Pm3NiRu structure from the Alexandria database. Energies are from GGA-PBE.

Results
energy relative to the lowest polymorph listed for this composition: 0.0 kJ per mole of atoms
space-group type: P2_1/c, No. 14
formation enthalpy at 0 K: -22.03 kJ/mol of atoms
density of states at the Fermi level: 4.58 states/eV/f.u.
total DFT energy (no corrections): -121.8 eV per cell

a b c (Å): 6.5024 10.3124 8.0648
angles (deg): 114.05 90.00 90.00
Last column: nearest neighbours and their distance in Å.
Sites, in units of the cell vectors:
Pm1 0.0004 0.6962 0.8563  2 Ni 2.99-3.01, 3 Ru 3.11-3.34
Pm2 0.9996 0.3038 0.1437  2 Ni 2.99-3.01, 3 Ru 3.11-3.34
Pm3 0.5004 0.8038 0.1437  2 Ni 2.99-3.01, 3 Ru 3.11-3.34
Pm4 0.4996 0.1962 0.8563  2 Ni 2.99-3.01, 3 Ru 3.11-3.34
Pm5 0.4997 0.4907 0.7246  2 Ni 2.78, 2 Ru 2.78
Pm6 0.5003 0.5093 0.2754  2 Ni 2.78, 2 Ru 2.78
Pm7 0.9997 0.0093 0.2754  2 Ni 2.78, 2 Ru 2.78
Pm8 0.0003 0.9907 0.7246  2 Ni 2.78, 2 Ru 2.78
Pm9 0.9990 0.3212 0.6791  2 Ru 2.92, 2 Ni 3.00-3.02
Pm10 0.0010 0.6788 0.3209  2 Ru 2.92, 2 Ni 3.00-3.02
Pm11 0.4990 0.1788 0.3209  2 Ru 2.92, 2 Ni 3.00-3.02
Pm12 0.5010 0.8212 0.6791  2 Ru 2.92, 2 Ni 3.00-3.02
Ni1 0.8190 0.5022 0.5013  1 Ni 2.35
Ni2 0.1810 0.4978 0.4987  1 Ni 2.35
Ni3 0.3190 0.9978 0.4987  1 Ni 2.35
Ni4 0.6810 0.0022 0.5013  1 Ni 2.35
Ru1 0.2349 0.4996 0.0000  6 Pm 2.78-3.11, 1 Ru 3.05
Ru2 0.7651 0.5004 0.0000  6 Pm 2.78-3.11, 1 Ru 3.05
Ru3 0.7349 0.0004 0.0000  6 Pm 2.78-3.11, 1 Ru 3.05
Ru4 0.2651 0.9996 0.0000  6 Pm 2.78-3.11, 1 Ru 3.05